1.
Entry from the Alexandria database: a geometry-optimized YZrCr structure (GGA-PBE).

Structure (CIF):
```
data_YZrCr
_chemical_formula_sum 'Y4 Zr4 Cr4'
_cell_length_a 6.7172
_cell_length_b 6.7172
_cell_length_c 6.7172
_cell_angle_alpha 90.00
_cell_angle_beta 90.00
_cell_angle_gamma 90.00
_symmetry_space_group_name_H-M 'F -4 3 m'
_symmetry_Int_Tables_number 216
_symmetry_space_group_name_Hall 'F -4 2 3'
loop_
_atom_site_label
_atom_site_fract_x
_atom_site_fract_y
_atom_site_fract_z
Y1 0.0000 0.0000 0.0000
Zr1 0.0000 0.0000 0.5000
Cr1 0.2500 0.2500 0.7500
```

Output
The value obtained for the spin magnetization is 0.7915 μB per atom. Its formation energy is 0.64 eV per atom. The value obtained for the raw total energy is -22.7 eV/f.u.

***

2.
Entry from the Alexandria database: a geometry-optimized YZr2Cr structure (GGA-PBE).

Structure (CIF):
```
data_YZr2Cr
_chemical_formula_sum 'Y2 Zr4 Cr2'
_cell_length_a 11.3493
_cell_length_b 3.5063
_cell_length_c 4.9549
_cell_angle_alpha 90.00
_cell_angle_beta 115.87
_cell_angle_gamma 90.00
_symmetry_space_group_name_H-M 'C 1 m 1'
_symmetry_Int_Tables_number 8
loop_
_symmetry_equiv_pos_as_xyz
'x,y,z'
'x,-y,z'
'x+1/2,y+1/2,z'
'x+1/2,-y+1/2,z'
loop_
_atom_site_label
_atom_site_fract_x
_atom_site_fract_y
_atom_site_fract_z
Y1 0.0000 0.0000 0.0000
Zr1 0.2175 0.0000 0.7174
Zr2 0.4238 0.0000 0.4239
Cr1 0.2340 0.5000 0.2329
```

Output
The value obtained for the spin magnetization is 0.3572 μB per atom. Its formation energy is 0.27 eV per atom. The value obtained for the raw total energy is -32.1 eV/f.u.

***

3.
Entry from the Alexandria database: a geometry-optimized YZrCr2 structure (GGA-PBE).

Structure (CIF):
```
data_YZrCr2
_chemical_formula_sum 'Y2 Zr2 Cr4'
_cell_length_a 3.2419
_cell_length_b 4.7663
_cell_length_c 9.8798
_cell_angle_alpha 90.00
_cell_angle_beta 90.00
_cell_angle_gamma 90.00
_symmetry_space_group_name_H-M 'I m m 2'
_symmetry_Int_Tables_number 44
loop_
_symmetry_equiv_pos_as_xyz
'x,y,z'
'-x,-y,z'
'-x,y,z'
'x,-y,z'
'x+1/2,y+1/2,z+1/2'
'-x+1/2,-y+1/2,z+1/2'
'-x+1/2,y+1/2,z+1/2'
'x+1/2,-y+1/2,z+1/2'
loop_
_atom_site_label
_atom_site_fract_x
_atom_site_fract_y
_atom_site_fract_z
Y1 0.0000 0.0000 0.0000
Zr1 0.0000 0.5000 0.7772
Cr1 0.0000 0.0000 0.5649
Cr2 0.0000 0.5000 0.2276
```

Output
The value obtained for the spin magnetization is 0.0295 μB per atom. Its formation energy is 0.30 eV per atom. The value obtained for the raw total energy is -33.1 eV/f.u.

***

4.
Entry from the Alexandria database: a geometry-optimized YZr2Cr structure (GGA-PBE).

Structure (CIF):
```
data_YZr2Cr
_chemical_formula_sum 'Y2 Zr4 Cr2'
_cell_length_a 4.3017
_cell_length_b 4.9267
_cell_length_c 8.4839
_cell_angle_alpha 90.00
_cell_angle_beta 90.00
_cell_angle_gamma 90.00
_symmetry_space_group_name_H-M 'C m m m'
_symmetry_Int_Tables_number 65
_symmetry_space_group_name_Hall '-C 2 2'
loop_
_atom_site_label
_atom_site_fract_x
_atom_site_fract_y
_atom_site_fract_z
Y1 0.0000 0.0000 0.0000
Zr1 0.0000 0.5000 0.3178
Cr1 0.0000 0.0000 0.5000
```

Output
The value obtained for the spin magnetization is 0.0215 μB per atom. Its formation energy is 0.20 eV per atom. The value obtained for the raw total energy is -32.4 eV/f.u.

***

5.
Entry from the Alexandria database: a geometry-optimized YZr3Cr structure (GGA-PBE).

Structure (CIF):
```
data_YZr3Cr
_chemical_formula_sum 'Y1 Zr3 Cr1'
_cell_length_a 5.1766
_cell_length_b 5.1766
_cell_length_c 5.1766
_cell_angle_alpha 90.00
_cell_angle_beta 90.00
_cell_angle_gamma 90.00
_symmetry_space_group_name_H-M 'P m -3 m'
_symmetry_Int_Tables_number 221
_symmetry_space_group_name_Hall '-P 4 2 3'
loop_
_atom_site_label
_atom_site_fract_x
_atom_site_fract_y
_atom_site_fract_z
Y1 0.0000 0.0000 0.0000
Zr1 0.0000 0.0000 0.5000
Cr1 0.5000 0.5000 0.5000
```

Output
The value obtained for the spin magnetization is 0.5829 μB per atom. Its formation energy is 1.66 eV per atom. The value obtained for the raw total energy is -33.5 eV/f.u.

***

6.
Entry from the Alexandria database: a geometry-optimized Y4ZrCr structure (GGA-PBE).

Structure (CIF):
```
data_Y4ZrCr
_chemical_formula_sum 'Y16 Zr4 Cr4'
_cell_length_a 8.8998
_cell_length_b 8.8998
_cell_length_c 8.8998
_cell_angle_alpha 90.00
_cell_angle_beta 90.00
_cell_angle_gamma 90.00
_symmetry_space_group_name_H-M 'F -4 3 m'
_symmetry_Int_Tables_number 216
_symmetry_space_group_name_Hall 'F -4 2 3'
loop_
_atom_site_label
_atom_site_fract_x
_atom_site_fract_y
_atom_site_fract_z
Y1 0.1244 0.1244 0.1244
Zr1 0.2500 0.2500 0.7500
Cr1 0.0000 0.0000 0.5000
```

Output
The value obtained for the spin magnetization is 0.5618 μB per atom. Its formation energy is 0.72 eV per atom. The value obtained for the raw total energy is -39.7 eV/f.u.

***

7.
Entry from the Alexandria database: a geometry-optimized YZrCr2 structure (GGA-PBE).

Structure (CIF):
```
data_YZrCr2
_chemical_formula_sum 'Y1 Zr1 Cr2'
_cell_length_a 3.0709
_cell_length_b 3.0709
_cell_length_c 8.1338
_cell_angle_alpha 90.00
_cell_angle_beta 90.00
_cell_angle_gamma 90.00
_symmetry_space_group_name_H-M 'P 4 m m'
_symmetry_Int_Tables_number 99
loop_
_symmetry_equiv_pos_as_xyz
'x,y,z'
'-y,x,z'
'-x,-y,z'
'y,-x,z'
'-x,y,z'
'y,x,z'
'x,-y,z'
'-y,-x,z'
loop_
_atom_site_label
_atom_site_fract_x
_atom_site_fract_y
_atom_site_fract_z
Y1 0.0000 0.0000 0.0000
Zr1 0.5000 0.5000 0.3606
Cr1 0.0000 0.0000 0.5920
Cr2 0.5000 0.5000 0.7324
```

Output
The value obtained for the spin magnetization is 0.0807 μB per atom. Its formation energy is 0.26 eV per atom. The value obtained for the raw total energy is -33.2 eV/f.u.

***

8.
Entry from the Alexandria database: a geometry-optimized YZrCr2 structure (GGA-PBE).

Structure (CIF):
```
data_YZrCr2
_chemical_formula_sum 'Y3 Zr3 Cr6'
_cell_length_a 3.1438
_cell_length_b 3.1438
_cell_length_c 26.9788
_cell_angle_alpha 90.00
_cell_angle_beta 90.00
_cell_angle_gamma 120.00
_symmetry_space_group_name_H-M 'R 3 m'
_symmetry_Int_Tables_number 160
_symmetry_space_group_name_Hall 'R 3 -2"'
loop_
_atom_site_label
_atom_site_fract_x
_atom_site_fract_y
_atom_site_fract_z
Y1 0.0000 0.0000 0.0000
Zr1 0.0000 0.0000 0.7756
Cr1 0.0000 0.0000 0.2429
Cr2 0.0000 0.0000 0.5234
```

Output
The value obtained for the spin magnetization is 0.0456 μB per atom. Its formation energy is 0.54 eV per atom. The value obtained for the raw total energy is -32.1 eV/f.u.

***

9.
Entry from the Alexandria database: a geometry-optimized YZr2Cr structure (GGA-PBE).

Structure (CIF):
```
data_YZr2Cr
_chemical_formula_sum 'Y4 Zr8 Cr4'
_cell_length_a 7.1968
_cell_length_b 7.1968
_cell_length_c 10.1681
_cell_angle_alpha 90.00
_cell_angle_beta 90.00
_cell_angle_gamma 90.00
_symmetry_space_group_name_H-M 'I 41/a m d'
_symmetry_Int_Tables_number 141
loop_
_symmetry_equiv_pos_as_xyz
'x,y,z'
'-x,-y,-z'
'-y+1/4,x+3/4,z+1/4'
'y+1/4,-x+3/4,-z+1/4'
'-x+1/2,-y,z+1/2'
'x+1/2,y,-z+1/2'
'y+1/4,-x+1/4,z+3/4'
'-y+1/4,x+1/4,-z+3/4'
'x,-y,-z'
'-x,y,z'
'-y+1/4,-x+1/4,-z+3/4'
'y+1/4,x+1/4,z+3/4'
'-x+1/2,y,-z+1/2'
'x+1/2,-y,z+1/2'
'y+1/4,x+3/4,-z+1/4'
'-y+1/4,-x+3/4,z+1/4'
'x+1/2,y+1/2,z+1/2'
'-x+1/2,-y+1/2,-z+1/2'
'-y+3/4,x+1/4,z+3/4'
'y+3/4,-x+1/4,-z+3/4'
'-x,-y+1/2,z'
'x,y+1/2,-z'
'y+3/4,-x+3/4,z+1/4'
'-y+3/4,x+3/4,-z+1/4'
'x+1/2,-y+1/2,-z+1/2'
'-x+1/2,y+1/2,z+1/2'
'-y+3/4,-x+3/4,-z+1/4'
'y+3/4,x+3/4,z+1/4'
'-x,y+1/2,-z'
'x,-y+1/2,z'
'y+3/4,x+1/4,-z+3/4'
'-y+3/4,-x+1/4,z+3/4'
loop_
_atom_site_label
_atom_site_fract_x
_atom_site_fract_y
_atom_site_fract_z
Y1 0.0000 0.2500 0.3750
Zr1 0.0000 0.0000 0.0000
Cr1 0.0000 0.2500 0.8750
```

Output
The value obtained for the spin magnetization is 0.0000 μB per atom. Its formation energy is 1.33 eV per atom. The value obtained for the raw total energy is -27.9 eV/f.u.

***

10.
Entry from the Alexandria database: a geometry-optimized YZr2Cr2 structure (GGA-PBE).

Structure (CIF):
```
data_YZr2Cr2
_chemical_formula_sum 'Y2 Zr4 Cr4'
_cell_length_a 7.7966
_cell_length_b 7.7966
_cell_length_c 3.3112
_cell_angle_alpha 90.00
_cell_angle_beta 90.00
_cell_angle_gamma 90.00
_symmetry_space_group_name_H-M 'P 4/m b m'
_symmetry_Int_Tables_number 127
_symmetry_space_group_name_Hall '-P 4 2ab'
loop_
_atom_site_label
_atom_site_fract_x
_atom_site_fract_y
_atom_site_fract_z
Y1 0.0000 0.0000 0.0000
Zr1 0.1931 0.3069 0.5000
Cr1 0.0904 0.5904 0.0000
```

Output
The value obtained for the spin magnetization is 0.0322 μB per atom. Its formation energy is 0.30 eV per atom. The value obtained for the raw total energy is -41.3 eV/f.u.

***

11.
Entry from the Alexandria database: a geometry-optimized YZr2Cr structure (GGA-PBE).

Structure (CIF):
```
data_YZr2Cr
_chemical_formula_sum 'Y4 Zr8 Cr4'
_cell_length_a 6.9524
_cell_length_b 6.9524
_cell_length_c 6.9524
_cell_angle_alpha 90.00
_cell_angle_beta 90.00
_cell_angle_gamma 90.00
_symmetry_space_group_name_H-M 'F m -3 m'
_symmetry_Int_Tables_number 225
_symmetry_space_group_name_Hall '-F 4 2 3'
loop_
_atom_site_label
_atom_site_fract_x
_atom_site_fract_y
_atom_site_fract_z
Y1 0.0000 0.0000 0.0000
Zr1 0.2500 0.2500 0.2500
Cr1 0.0000 0.0000 0.5000
```

Output
The value obtained for the spin magnetization is 0.0000 μB per atom. Its formation energy is 0.46 eV per atom. The value obtained for the raw total energy is -31.4 eV/f.u.

***

12.
Entry from the Alexandria database: a geometry-optimized YZr2Cr structure (GGA-PBE).

Structure (CIF):
```
data_YZr2Cr
_chemical_formula_sum 'Y1 Zr2 Cr1'
_cell_length_a 3.2737
_cell_length_b 4.7233
_cell_length_c 6.2523
_cell_angle_alpha 90.00
_cell_angle_beta 104.89
_cell_angle_gamma 90.00
_symmetry_space_group_name_H-M 'P 1 m 1'
_symmetry_Int_Tables_number 6
loop_
_symmetry_equiv_pos_as_xyz
'x,y,z'
'x,-y,z'
loop_
_atom_site_label
_atom_site_fract_x
_atom_site_fract_y
_atom_site_fract_z
Y1 0.0000 0.0000 0.0000
Zr1 0.2316 0.0000 0.5259
Zr2 0.6525 0.5000 0.3307
Cr1 0.4245 0.5000 0.7665
```

Output
The value obtained for the spin magnetization is 0.6875 μB per atom. Its formation energy is 0.30 eV per atom. The value obtained for the raw total energy is -32.0 eV/f.u.